The following is a PBE calculation of an optimized crystal structure of SnSbPb2S5, from Alexandria via LeMat-Bulk.

Results
* final energy: -78.5 eV/cell
* energy relative to the elements, uncorrected: -339 meV/atom

Cell: 4.349 9.332 11.910 Å, 90.00 90.00 103.47°
Sites, in units of the cell vectors:
Sn (0.557, 0.114, 0.956)
Sn (0.443, 0.886, 0.456)
Sb (0.781, 0.562, 0.522)
Sb (0.219, 0.438, 0.022)
Pb (0.885, 0.769, 0.800)
Pb (0.129, 0.258, 0.684)
Pb (0.115, 0.231, 0.300)
Pb (0.871, 0.742, 0.184)
S (0.356, 0.712, 0.009)
S (0.681, 0.361, 0.857)
S (0.488, 0.977, 0.777)
S (0.285, 0.570, 0.662)
S (0.958, 0.916, 0.557)
S (0.644, 0.288, 0.509)
S (0.319, 0.639, 0.357)
S (0.512, 0.023, 0.277)
S (0.715, 0.430, 0.162)
S (0.042, 0.084, 0.057)

---

The following is a PBE calculation of an optimized crystal structure of SnSbPbS, from Alexandria via LeMat-Bulk.

Results
* final energy: -33.4 eV/cell
* energy relative to the elements, uncorrected: -183 meV/atom

Cell: 5.031 5.031 12.204 Å, 78.11 78.11 60.00°
Sites, in units of the cell vectors:
Sn (0.698, 0.698, 0.907)
Sn (0.302, 0.302, 0.093)
Sb (0.614, 0.614, 0.158)
Sb (0.386, 0.386, 0.842)
Pb (0.126, 0.126, 0.623)
Pb (0.874, 0.874, 0.377)
S (0.798, 0.798, 0.606)
S (0.202, 0.202, 0.394)